1.
The following is a DFT calculation (GGA-PBE) of a relaxed NaUPt2O8 crystal. Values from VASP.

Properties
E in eV/atom: -6.82
N(E_F) in states/eV/f.u.: 4.23
Magnetization in μB per formula unit: 1.00

Quantum ESPRESSO input file:
```
&SYSTEM
  ibrav = 0, nat = 12, ntyp = 4
/
ATOMIC_SPECIES
Na 22.99 Na.upf
U 238.03 U.upf
Pt 195.08 Pt.upf
O 16.00 O.upf
ATOMIC_POSITIONS crystal
Na 0.0000 0.0000 0.0000
U 0.0000 0.0000 0.5000
Pt 0.5000 0.5000 0.2480
Pt 0.5000 0.5000 0.7520
O 0.2058 0.2058 0.2728
O 0.2058 0.2058 0.7272
O 0.3212 0.6788 0.5000
O 0.3289 0.6711 0.0000
O 0.6711 0.3289 0.0000
O 0.6788 0.3212 0.5000
O 0.7942 0.7942 0.2728
O 0.7942 0.7942 0.7272
CELL_PARAMETERS angstrom
3.4037 -3.5707 0.0000
3.4037 3.5707 0.0000
0.0000 0.0000 6.4123
```

=====

2.
The following is a DFT calculation (GGA-PBE) of a relaxed FeSn3Se crystal. Values from VASP.

Properties
E in eV/atom: -4.88
N(E_F) in states/eV/f.u.: 0.00
Magnetization in μB per formula unit: 0.00
ΔE to the lowest computed polymorph in meV per atom: 0

Quantum ESPRESSO input file:
```
&SYSTEM
  ibrav = 0, nat = 5, ntyp = 3
/
ATOMIC_SPECIES
Fe 55.84 Fe.upf
Sn 118.71 Sn.upf
Se 78.96 Se.upf
ATOMIC_POSITIONS crystal
Fe 0.0000 0.0000 0.0000
Sn 0.0000 0.0000 0.5000
Sn 0.0000 0.5000 0.0000
Sn 0.5000 0.0000 0.0000
Se 0.5000 0.5000 0.5000
CELL_PARAMETERS angstrom
4.9883 0.0000 0.0000
0.0000 4.9883 0.0000
0.0000 0.0000 4.9883
```

=====

3.
The following is a DFT calculation (GGA-PBE) of a relaxed Cs2Rb3AgCl6 crystal. Values from VASP.

Properties
E in eV/atom: -3.21
N(E_F) in states/eV/f.u.: 0.00
Magnetization in μB per formula unit: 0.00

Quantum ESPRESSO input file:
```
&SYSTEM
  ibrav = 0, nat = 12, ntyp = 4
/
ATOMIC_SPECIES
Cs 132.91 Cs.upf
Rb 85.47 Rb.upf
Ag 107.87 Ag.upf
Cl 35.45 Cl.upf
ATOMIC_POSITIONS crystal
Cs 0.1761 0.8239 0.0000
Cs 0.8239 0.1761 0.0000
Rb 0.0000 0.0000 0.5000
Rb 0.3363 0.6637 0.5000
Rb 0.6637 0.3363 0.5000
Ag 0.5000 0.5000 0.0000
Cl 0.0680 0.3992 0.7221
Cl 0.3174 0.3174 0.1905
Cl 0.3992 0.0680 0.7221
Cl 0.6008 0.9320 0.2779
Cl 0.6826 0.6826 0.8095
Cl 0.9320 0.6008 0.2779
CELL_PARAMETERS angstrom
4.1398 -7.1451 0.0000
4.1398 7.1451 0.0000
-2.4450 0.0000 7.8085
```